one:
## Zr2AgMo (meta-GGA SCAN)

Data for Zr2AgMo at its PBEsol-relaxed geometry.

Cell lengths 5.2714, 5.2714, 5.2714 Å; angles 134.22, 134.22, 66.74 degrees
With the nearest neighbours (Å) after each atom.
Element x y z (fractional)
Zr1 0.0000 0.0000 0.0000  4 Ag 2.90, 4 Zr 3.01, 4 Mo 3.01
Zr2 0.7500 0.2500 0.5000  4 Mo 2.90, 4 Zr 3.01, 4 Ag 3.01
Ag1 0.5000 0.5000 0.0000  8 Zr 2.90-3.01, 4 Mo 3.01
Mo1 0.2500 0.7500 0.5000  8 Zr 2.90-3.01, 4 Ag 3.01

***

two:
## Zr2AgMo (meta-GGA SCAN)

Data for Zr2AgMo at its PBEsol-relaxed geometry.

Cell lengths 3.3703, 3.3703, 6.5922 Å; angles 90.00, 90.00, 90.00 degrees
With the nearest neighbours (Å) after each atom.
Element x y z (fractional)
Zr1 0.0000 0.0000 0.2314  4 Mo 2.83, 4 Ag 2.97, 1 Zr 3.05
Zr2 0.0000 0.0000 0.7686  4 Mo 2.83, 4 Ag 2.97, 1 Zr 3.05
Ag1 0.5000 0.5000 0.5000  8 Zr 2.97, 2 Mo 3.30
Mo1 0.5000 0.5000 0.0000  8 Zr 2.83

***

three:
## Zr2AgMo (meta-GGA SCAN)

Data for Zr2AgMo at its PBEsol-relaxed geometry.

Cell lengths 2.8117, 2.8117, 9.6764 Å; angles 90.00, 90.00, 105.25 degrees
With the nearest neighbours (Å) after each atom.
Element x y z (fractional)
Zr1 0.0000 0.0000 0.0000  4 Zr 2.81, 2 Mo 2.83
Zr2 0.5000 0.5000 0.2861  4 Zr 2.81, 2 Ag 2.96
Ag1 0.0000 0.0000 0.5362  2 Mo 2.81, 4 Ag 2.81, 2 Zr 2.96
Mo1 0.5000 0.5000 0.7667  2 Ag 2.81, 4 Mo 2.81, 2 Zr 2.83

***

Most stable to least stable, the ends of the list are two and three.

***

one:
## ZrAgMo2 (meta-GGA SCAN)

Data for ZrAgMo2 at its PBEsol-relaxed geometry.

Cell lengths 5.3367, 5.3367, 2.6406 Å; angles 90.00, 90.00, 116.43 degrees
With the nearest neighbours (Å) after each atom.
Element x y z (fractional)
Zr1 0.0000 0.0000 0.0000  2 Zr 2.64, 2 Ag 2.81
Ag1 0.5000 0.5000 0.0000  2 Ag 2.64, 2 Zr 2.81
Mo1 0.0000 0.5000 0.5000  4 Mo 2.64-2.81
Mo2 0.5000 0.0000 0.5000  4 Mo 2.64-2.81

***

two:
## ZrAgMo2 (meta-GGA SCAN)

Data for ZrAgMo2 at its PBEsol-relaxed geometry.

Cell lengths 4.5646, 4.5646, 4.5646 Å; angles 60.00, 60.00, 60.00 degrees
With the nearest neighbours (Å) after each atom.
Element x y z (fractional)
Zr1 0.0000 0.0000 0.0000  8 Mo 2.80
Ag1 0.5000 0.5000 0.5000  8 Mo 2.80
Mo1 0.2500 0.2500 0.2500  4 Ag 2.80, 4 Zr 2.80
Mo2 0.7500 0.7500 0.7500  4 Ag 2.80, 4 Zr 2.80

***

Most stable to least stable, the ends of the list are one and two.